Entry 1:
A relaxed FeSb2TePb crystal. Source: Alexandria via LeMat-Bulk, functional PBEsol.

Geometry as POSCAR:
```
FeSb2TePb
1.0
-1.551 5.530 0.163
-3.108 -0.736 -4.617
-4.422 -1.334 3.190
Pb Sb Te Fe
1 2 1 1
Cartesian
0.000 0.000 0.000
-2.211 -0.667 1.595
-1.554 -0.368 -2.308
-0.775 2.765 0.081
-4.541 1.730 -0.632
```

Uncorrected formation energy ... 1534 meV per atom
DOS at the Fermi energy ... 1.9388 states/eV per atom

Entry 2:
A relaxed ScFePb2 crystal. Source: Alexandria via LeMat-Bulk, functional PBEsol.

Geometry as POSCAR:
```
ScFePb2
1.0
3.386 0.000 0.000
1.693 2.932 0.000
1.693 0.977 8.565
Fe Pb Sc
1 2 1
Cartesian
0.000 0.000 0.000
1.693 0.977 1.875
5.079 2.932 6.690
3.386 1.955 4.283
```

Calculated formation energy ... 0.24 eV per atom
DOS at the Fermi energy ... 1.1844 states/eV per atom

Entry 3:
A relaxed ScFePb2 crystal. Source: Alexandria via LeMat-Bulk, functional PBEsol.

Geometry as POSCAR:
```
ScFePb2
1.0
4.108 0.000 0.000
0.000 4.513 0.000
0.000 0.000 4.513
Fe Pb Sc
1 2 1
Cartesian
2.054 2.256 2.256
0.000 0.000 2.256
0.000 2.256 0.000
2.054 0.000 0.000
```

Calculated formation energy ... 0.13 eV per atom
DOS at the Fermi energy ... 0.8372 states/eV per atom

Entry 4:
A relaxed ScFePb2 crystal. Source: Alexandria via LeMat-Bulk, functional PBEsol.

Geometry as POSCAR:
```
ScFePb2
1.0
-0.317 -4.663 1.708
1.102 -3.824 -2.988
4.138 -2.652 0.776
Fe Pb Sc
1 2 1
Cartesian
2.461 -5.570 -0.252
0.000 0.000 0.000
3.692 -8.355 -0.378
1.231 -2.785 -0.126
```

Calculated formation energy ... 0.37 eV per atom
DOS at the Fermi energy ... 1.1011 states/eV per atom

Entry 5:
A relaxed ScFePb2 crystal. Source: Alexandria via LeMat-Bulk, functional PBEsol.

Geometry as POSCAR:
```
ScFePb2
1.0
3.450 0.000 0.024
0.000 4.464 0.000
-1.415 0.000 5.616
Fe Pb Sc
1 2 1
Cartesian
0.468 2.232 4.228
1.722 0.000 5.377
1.477 2.232 1.651
-0.303 0.000 2.833
```

Calculated formation energy ... 0.20 eV per atom
DOS at the Fermi energy ... 0.8246 states/eV per atom

Entry 6:
A relaxed ScFePb3 crystal. Source: Alexandria via LeMat-Bulk, functional PBEsol.

Geometry as POSCAR:
```
ScFePb3
1.0
-2.421 -4.312 1.040
2.329 -0.228 4.479
-3.775 2.625 2.096
Pb Sc Fe
3 1 1
Cartesian
1.164 -0.114 2.239
-1.887 1.313 1.048
-1.211 -2.156 0.520
-1.934 -0.957 3.808
0.000 0.000 0.000
```

Calculated formation energy ... 0.40 eV per atom
DOS at the Fermi energy ... 1.3041 states/eV per atom

Entry 7:
A relaxed Sc2ZnFePb crystal. Source: Alexandria via LeMat-Bulk, functional PBEsol.

Geometry as POSCAR:
```
Sc2ZnFePb
1.0
4.645 0.000 0.000
0.000 4.662 0.000
0.000 0.000 4.662
Pb Sc Zn Fe
1 2 1 1
Cartesian
2.323 2.331 2.331
0.000 0.000 2.331
0.000 2.331 0.000
2.323 0.000 0.000
0.000 0.000 0.000
```

Calculated formation energy ... 0.01 eV per atom
DOS at the Fermi energy ... 0.7724 states/eV per atom

Entry 8:
A relaxed FePbSe crystal. Source: Alexandria via LeMat-Bulk, functional PBEsol.

Geometry as POSCAR:
```
FePbSe
1.0
4.742 0.000 0.000
2.371 4.107 0.000
2.371 1.369 3.872
Fe Pb Se
1 1 1
Cartesian
4.742 2.738 1.936
2.371 1.369 0.968
0.000 0.000 0.000
```

Uncorrected formation energy ... 865 meV per atom
DOS at the Fermi energy ... 1.4891 states/eV per atom

Entry 9:
A relaxed FePb2Se crystal. Source: Alexandria via LeMat-Bulk, functional PBEsol.

Geometry as POSCAR:
```
FePb2Se
1.0
3.356 0.000 0.000
0.000 3.568 0.000
-1.678 -1.784 7.746
Fe Pb Se
1 2 1
Cartesian
0.000 1.784 0.000
1.678 1.784 2.600
0.000 0.000 5.146
1.678 0.000 0.000
```

Uncorrected formation energy ... 166 meV per atom
DOS at the Fermi energy ... 1.2816 states/eV per atom

Entry 10:
A relaxed FePbSe2 crystal. Source: Alexandria via LeMat-Bulk, functional PBEsol.

Geometry as POSCAR:
```
FePbSe2
1.0
-2.830 -1.052 0.088
0.915 -2.319 1.705
-1.535 4.738 7.270
Fe Pb Se
1 1 2
Cartesian
-0.704 2.172 3.332
-2.036 1.644 6.005
-0.001 0.004 0.006
-1.476 -0.084 3.354
```

Uncorrected formation energy ... 132 meV per atom
DOS at the Fermi energy ... 0.6480 states/eV per atom

Entry 11:
A relaxed FePbSe2 crystal. Source: Alexandria via LeMat-Bulk, functional PBEsol.

Geometry as POSCAR:
```
FePbSe2
1.0
-3.225 -1.336 -0.512
1.315 -4.039 2.251
-2.034 3.782 2.944
Fe Pb Se
1 1 2
Cartesian
-2.630 1.223 1.216
-0.955 -2.687 0.870
-0.430 0.482 1.451
-0.289 -0.738 3.744
```

Uncorrected formation energy ... -114 meV per atom
DOS at the Fermi energy ... 0.6191 states/eV per atom

Entry 12:
A relaxed FePbSe2 crystal. Source: Alexandria via LeMat-Bulk, functional PBEsol.

Geometry as POSCAR:
```
FePbSe2
1.0
-0.348 3.393 0.335
-2.778 1.295 1.534
3.005 1.227 8.232
Pb Fe Se
1 1 2
Cartesian
0.000 0.000 0.000
-0.060 2.958 5.051
-1.708 4.571 4.533
1.588 1.344 5.569
```

Uncorrected formation energy ... -234 meV per atom
DOS at the Fermi energy ... 1.1341 states/eV per atom

Entry 13:
A relaxed FePbSe crystal. Source: Alexandria via LeMat-Bulk, functional PBEsol.

Geometry as POSCAR:
```
FePbSe
1.0
-1.778 0.525 -2.433
2.323 -0.724 -1.854
-2.097 -5.873 2.188
Fe Pb Se
1 1 1
Cartesian
-0.104 -0.339 0.002
-1.308 -4.282 0.032
-0.140 -1.450 -2.134
```

Uncorrected formation energy ... 69 meV per atom
DOS at the Fermi energy ... 0.7060 states/eV per atom

Entry 14:
A relaxed FePbSe3 crystal. Source: Alexandria via LeMat-Bulk, functional PBEsol.

Geometry as POSCAR:
```
FePbSe3
1.0
5.299 0.000 0.000
0.000 5.299 0.000
0.000 0.000 5.299
Pb Fe Se
1 1 3
Cartesian
0.000 0.000 0.000
2.650 2.650 2.650
0.000 2.650 0.000
0.000 0.000 2.650
2.650 0.000 0.000
```

Uncorrected formation energy ... 1125 meV per atom
DOS at the Fermi energy ... 1.5442 states/eV per atom

Entry 15:
A relaxed FePbSe2 crystal. Source: Alexandria via LeMat-Bulk, functional PBEsol.

Geometry as POSCAR:
```
FePbSe2
1.0
-1.794 1.875 -3.323
3.167 -1.407 -2.504
-4.480 -3.938 0.197
Fe Pb Se
1 1 2
Cartesian
-1.053 -1.687 -0.383
0.393 -0.236 -3.020
-1.176 -5.126 -2.257
-2.498 -1.628 -2.245
```

Uncorrected formation energy ... -16 meV per atom
DOS at the Fermi energy ... 0.8230 states/eV per atom

Entry 16:
A relaxed FePbSe2 crystal. Source: Alexandria via LeMat-Bulk, functional PBEsol.

Geometry as POSCAR:
```
FePbSe2
1.0
-0.841 4.424 -1.811
0.537 0.818 -4.754
-3.899 0.782 -2.784
Fe Pb Se
1 1 2
Cartesian
-2.101 3.012 -4.675
-3.151 4.518 -7.012
0.000 0.000 0.000
-1.050 1.506 -2.337
```

Uncorrected formation energy ... 558 meV per atom
DOS at the Fermi energy ... 1.2556 states/eV per atom

Entry 17:
A relaxed FePbSe2 crystal. Source: Alexandria via LeMat-Bulk, functional PBEsol.

Geometry as POSCAR:
```
FePbSe2
1.0
4.021 0.000 0.000
0.000 4.021 0.000
-2.011 -2.011 5.382
Fe Pb Se
1 1 2
Cartesian
2.011 2.011 0.000
0.000 2.011 2.691
0.000 0.000 0.000
2.011 0.000 2.691
```

Uncorrected formation energy ... 388 meV per atom
DOS at the Fermi energy ... 1.4762 states/eV per atom

Entry 18:
A relaxed FeSiPb2 crystal. Source: Alexandria via LeMat-Bulk, functional PBEsol.

Geometry as POSCAR:
```
FeSiPb2
1.0
-2.634 -1.587 -0.546
0.916 -2.211 2.007
-3.719 4.054 6.163
Fe Pb Si
1 2 1
Cartesian
-3.368 0.837 4.889
-3.463 3.776 5.740
-2.025 -0.627 2.663
-2.158 2.353 3.576
```

Uncorrected formation energy ... 137 meV per atom
DOS at the Fermi energy ... 0.7053 states/eV per atom

Entry 19:
A relaxed FeSiPb2 crystal. Source: Alexandria via LeMat-Bulk, functional PBEsol.

Geometry as POSCAR:
```
FeSiPb2
1.0
-2.444 -1.276 -1.897
0.239 -3.133 -1.153
-4.711 -4.378 6.064
Fe Pb Si
1 2 1
Cartesian
-1.907 -2.327 1.070
-2.434 -4.577 -2.642
-5.053 -6.492 2.022
-3.185 -4.194 1.022
```

Uncorrected formation energy ... 308 meV per atom
DOS at the Fermi energy ... 0.7879 states/eV per atom

Entry 20:
A relaxed FeSi2Pb crystal. Source: Alexandria via LeMat-Bulk, functional PBEsol.

Geometry as POSCAR:
```
FeSi2Pb
1.0
4.210 0.000 0.000
0.000 4.210 0.000
-2.105 -2.105 3.818
Fe Pb Si
1 1 2
Cartesian
2.105 2.105 0.000
0.000 2.105 1.909
0.000 0.000 0.000
2.105 0.000 1.909
```

Uncorrected formation energy ... 713 meV per atom
DOS at the Fermi energy ... 1.3362 states/eV per atom